[1]
Density functional theory data (PBE) for a geometry-optimized Li3PrGe2 structure.

Structure (POSCAR):
```
Li3PrGe2
1.0
7.586 -2.161 0.000
7.586 2.161 0.000
-3.489 0.000 7.199
Li Pr Ge
6 2 4
Direct
0.039 0.039 0.369
0.311 0.311 0.536
0.402 0.402 0.313
0.598 0.598 0.687
0.689 0.689 0.464
0.961 0.961 0.631
0.150 0.150 0.063
0.850 0.850 0.937
0.192 0.192 0.708
0.476 0.476 0.835
0.524 0.524 0.165
0.808 0.808 0.292
```


[2]
Density functional theory data (PBE) for a geometry-optimized Li6PrGe2 structure.

Structure (POSCAR):
```
Li6PrGe2
1.0
4.360 0.000 0.000
0.000 4.360 0.000
0.000 0.000 9.184
Li Pr Ge
6 1 2
Direct
0.000 0.000 0.000
0.000 0.500 0.214
0.000 0.500 0.786
0.500 0.000 0.214
0.500 0.000 0.786
0.500 0.500 0.000
0.000 0.000 0.500
0.500 0.500 0.363
0.500 0.500 0.637
```


[3]
Density functional theory data (PBE) for a geometry-optimized LiPrGe2 structure.

Structure (POSCAR):
```
LiPrGe2
1.0
2.135 1.233 5.258
-2.135 1.233 5.258
0.000 -2.465 5.258
Li Pr Ge
1 1 2
Direct
0.000 0.000 0.000
0.500 0.500 0.500
0.286 0.286 0.286
0.714 0.714 0.714
```

Results
polymorph energy (0 for the lowest one)	0.1424	eV/atom


[4]
Density functional theory data (PBE) for a geometry-optimized LiPr3Ge3 structure.

Structure (POSCAR):
```
LiPr3Ge3
1.0
5.603 -2.240 0.000
5.603 2.240 0.000
-5.054 0.000 13.621
Li Pr Ge
2 6 6
Direct
0.246 0.246 0.406
0.754 0.754 0.594
0.253 0.253 0.777
0.398 0.398 0.077
0.463 0.463 0.618
0.537 0.537 0.382
0.602 0.602 0.923
0.747 0.747 0.223
0.040 0.040 0.230
0.116 0.116 0.077
0.123 0.123 0.550
0.877 0.877 0.450
0.884 0.884 0.923
0.960 0.960 0.770
```


| no. | calculated formation energy (kJ/mol of atoms) |
| --- | --- |
| 1 | -48.73 |
| 2 | -29.64 |
| 3 | -50.98 |
| 4 | -71.63 |